No. 1
Nd2YIn | PBE | optimized geometry

Cell lengths 3.647, 3.647, 9.574 Å; angles 90.00, 90.00, 90.00 degrees
Sites, in units of the cell vectors:
Nd 0.000 0.000 0.774
Nd 0.000 0.000 0.226
In 0.500 0.500 0.000
Y 0.500 0.500 0.500

## Properties
Magnetization in μB/cell: 0.00
Energy above the most stable polymorph in this dataset in meV/atom: 70
Density of states at the Fermi level in states/eV/f.u.: 5.31
ΔH_f (0 K) in eV per atom: -0.206
Volume in Å³/cell: 127.4

---

No. 2
Nd4YIn3 | PBE | optimized geometry

Cell lengths 5.997, 7.003, 11.323 Å; angles 90.00, 90.00, 90.00 degrees
Sites, in units of the cell vectors:
Y 0.000 0.500 0.500
Y 0.000 0.500 0.000
In 0.650 0.500 0.750
In 0.350 0.500 0.250
In 0.357 0.000 0.250
In 0.000 0.000 0.500
In 0.000 0.000 0.000
In 0.643 0.000 0.750
Nd 0.500 0.246 0.000
Nd 0.500 0.246 0.500
Nd 0.500 0.754 0.000
Nd 0.867 0.760 0.250
Nd 0.133 0.760 0.750
Nd 0.133 0.240 0.750
Nd 0.500 0.754 0.500
Nd 0.867 0.240 0.250

## Properties
Magnetization in μB/cell: 0.00
Energy above the most stable polymorph in this dataset in meV/atom: 38
Density of states at the Fermi level in states/eV/f.u.: 9.97
ΔH_f (0 K) in eV per atom: -0.321
Volume in Å³/cell: 475.5

---

No. 3
Nd2Y5In | PBE | optimized geometry

Cell lengths 12.444, 15.744, 11.473 Å; angles 38.49, 74.15, 109.84 degrees
Sites, in units of the cell vectors:
Nd 0.500 0.500 0.500
Nd 0.000 0.500 0.500
Nd 0.500 0.500 0.000
Nd 0.500 0.000 0.000
Y 0.027 0.877 0.043
Y 0.607 0.776 0.917
Y 0.660 0.172 0.451
Y 0.078 0.364 0.363
Y 0.973 0.123 0.957
Y 0.746 0.578 0.103
Y 0.340 0.828 0.549
Y 0.254 0.422 0.897
Y 0.922 0.636 0.637
Y 0.393 0.224 0.083
In 0.202 0.853 0.792
In 0.798 0.147 0.208

## Properties
Magnetization in μB/cell: 0.00
Energy above the most stable polymorph in this dataset in meV/atom: 85
Density of states at the Fermi level in states/eV/f.u.: 10.42
ΔH_f (0 K) in eV per atom: 0.003
Volume in Å³/cell: 515.3

---

No. 4
Nd5YIn5 | PBE | optimized geometry

Cell lengths 5.835, 9.501, 7.045 Å; angles 111.59, 90.00, 107.88 degrees
Sites, in units of the cell vectors:
Y 0.000 0.000 0.000
Nd 0.688 0.377 0.190
Nd 0.000 0.000 0.500
Nd 0.638 0.277 0.641
Nd 0.362 0.723 0.359
Nd 0.312 0.623 0.810
In 0.163 0.326 0.941
In 0.500 0.000 0.000
In 0.837 0.674 0.615
In 0.163 0.326 0.385
In 0.837 0.674 0.059

## Properties
Magnetization in μB/cell: 0.00
Density of states at the Fermi level in states/eV/f.u.: 11.93
ΔH_f (0 K) in eV per atom: -0.246
Volume in Å³/cell: 342.8

---

No. 5
Nd2Y3In | PBE | optimized geometry

Cell lengths 4.936, 4.934, 8.053 Å; angles 107.84, 90.00, 90.00 degrees
Sites, in units of the cell vectors:
Nd 0.000 0.337 0.675
Nd 0.000 0.663 0.325
Y 0.500 0.163 0.327
Y 0.500 0.500 0.000
Y 0.500 0.837 0.673
In 0.000 0.000 0.000

## Properties
Magnetization in μB/cell: 0.00
Density of states at the Fermi level in states/eV/f.u.: 7.42
ΔH_f (0 K) in eV per atom: -0.152
Volume in Å³/cell: 186.7

---

No. 6
Nd3Y6In | PBE | optimized geometry

Cell lengths 6.249, 11.088, 11.088 Å; angles 121.44, 90.00, 90.00 degrees
Sites, in units of the cell vectors:
Y 0.048 0.379 0.292
Y 0.548 0.621 0.708
Y 0.548 0.292 0.379
Y 0.380 0.038 0.441
Y 0.419 0.939 0.061
Y 0.048 0.708 0.621
Y 0.380 0.559 0.962
Y 0.880 0.441 0.038
Y 0.644 0.280 0.720
Y 0.880 0.962 0.559
Y 0.919 0.061 0.939
Y 0.144 0.720 0.280
In 0.654 0.769 0.231
In 0.154 0.231 0.769
Nd 0.424 0.280 0.049
Nd 0.924 0.720 0.951
Nd 0.924 0.049 0.280
Nd 0.424 0.951 0.720
Nd 0.563 0.607 0.393
Nd 0.063 0.393 0.607

## Properties
Magnetization in μB/cell: 0.00
Energy above the most stable polymorph in this dataset in meV/atom: 70
Density of states at the Fermi level in states/eV/f.u.: 14.63
ΔH_f (0 K) in eV per atom: -0.002
Volume in Å³/cell: 655.4

---

No. 7
Nd2YIn6 | PBE | optimized geometry

Cell lengths 3.677, 8.658, 8.658 Å; angles 120.00, 90.00, 90.00 degrees
Sites, in units of the cell vectors:
In 0.500 0.000 0.332
In 0.500 0.332 0.332
In 0.500 0.668 0.668
In 0.500 0.000 0.668
In 0.500 0.332 0.000
In 0.500 0.668 0.000
Nd 0.000 0.333 0.667
Nd 0.000 0.667 0.333
Y 0.000 0.000 0.000

## Properties
Magnetization in μB/cell: 0.00
Energy above the most stable polymorph in this dataset in meV/atom: 0
Density of states at the Fermi level in states/eV/f.u.: 3.23
ΔH_f (0 K) in eV per atom: -0.449
Volume in Å³/cell: 238.7

---

No. 8
Nd4Y3In2 | PBE | optimized geometry

Cell lengths 5.423, 6.837, 9.670 Å; angles 60.40, 73.76, 66.63 degrees
Sites, in units of the cell vectors:
In 0.793 0.096 0.317
In 0.207 0.904 0.683
Y 0.418 0.809 0.355
Y 0.000 0.000 0.000
Y 0.582 0.191 0.645
Nd 0.329 0.378 0.964
Nd 0.116 0.424 0.343
Nd 0.884 0.576 0.657
Nd 0.671 0.622 0.036

## Properties
Magnetization in μB/cell: 0.00
Density of states at the Fermi level in states/eV/f.u.: 9.45
ΔH_f (0 K) in eV per atom: -0.198
Volume in Å³/cell: 284.6

---

No. 9
Nd8YIn6 | PBE | optimized geometry

Cell lengths 9.241, 9.241, 8.526 Å; angles 57.19, 57.19, 60.00 degrees
Sites, in units of the cell vectors:
In 0.946 0.273 0.163
In 0.054 0.727 0.837
In 0.618 0.946 0.163
In 0.727 0.382 0.837
In 0.382 0.054 0.837
In 0.273 0.618 0.163
Nd 0.451 0.780 0.654
Nd 0.115 0.451 0.654
Nd 0.335 0.335 0.996
Nd 0.220 0.885 0.346
Nd 0.665 0.665 0.004
Nd 0.780 0.115 0.654
Nd 0.549 0.220 0.346
Nd 0.885 0.549 0.346
Y 0.000 0.000 0.000

## Properties
Magnetization in μB/cell: 0.00
Density of states at the Fermi level in states/eV/f.u.: 22.29
ΔH_f (0 K) in eV per atom: -0.249
Volume in Å³/cell: 491.9

---

No. 10
Nd2Y3In | PBE | optimized geometry

Cell lengths 5.167, 9.460, 9.460 Å; angles 110.85, 105.85, 105.85 degrees
Sites, in units of the cell vectors:
Y 0.546 0.375 0.217
Y 0.954 0.783 0.625
Y 0.500 0.000 0.500
Y 0.454 0.625 0.783
Y 0.000 0.500 0.000
Y 0.046 0.217 0.375
Nd 0.750 0.074 0.926
Nd 0.250 0.926 0.074
Nd 0.250 0.223 0.777
Nd 0.750 0.777 0.223
In 0.250 0.606 0.394
In 0.750 0.394 0.606

## Properties
Magnetization in μB/cell: 0.00
Density of states at the Fermi level in states/eV/f.u.: 7.46
ΔH_f (0 K) in eV per atom: -0.153
Volume in Å³/cell: 378.8

---

- Which formula does entry 5 have?
  Nd2Y3In

---

- Which value of magnetization does entry 5 give?
  0.00 μB/cell